Entry 1:
# VPdSO2

A geometry-optimized VPdSO2 structure (PBE with a Hubbard U, the Alexandria database).

Values from the calculation:
Space-group type ... P4/mmm, No. 123
N(E_F) ... 5.872 states/eV per cell

a b c (Å): 3.7358 6.2621 3.7358
angles (deg): 90.00 90.00 90.00
Sites, in units of the cell vectors:
O (0.0000, 0.0000, 0.5000)
Pd (0.0000, 0.0000, 0.0000)
V (0.0000, 0.5000, 0.0000)
O (0.5000, 0.0000, 0.0000)
S (0.5000, 0.5000, 0.5000)



Entry 2:
# PdW2SO

A geometry-optimized PdW2SO structure (PBE with a Hubbard U, the Alexandria database).

Values from the calculation:
Space-group type ... P4/mmm, No. 123
N(E_F) ... 1.736 states/eV per cell

a b c (Å): 5.3228 3.7731 5.3228
angles (deg): 90.00 90.00 90.00
Sites, in units of the cell vectors:
S (0.5000, 0.5000, 0.5000)
O (0.0000, 0.5000, 0.0000)
W (0.0000, 0.0000, 0.5000)
Pd (0.0000, 0.0000, 0.0000)
W (0.5000, 0.0000, 0.0000)



Number 1: calculated total energy -4.883 eV/atom. Number 2: calculated total energy -4.640 eV/atom.